The following is a DFT calculation (PBE-GGA) of a geometry-optimized Mg3Cd4In2 structure.

* magnetic moment: 0.00 μB/cell
* calculated total energy: -1.555 eV per atom
* ΔE_f: -1 kJ per mole of atoms

a = 8.730 Å, b = 7.580 Å, c = 5.996 Å
α = 79.09°, β = 58.49°, γ = 42.41°
Positions (direct):
Mg: 0.000 0.000 0.000
Mg: 0.000 0.000 0.500
Mg: 0.500 0.500 0.000
Cd: 0.032 0.330 0.670
Cd: 0.330 0.032 0.968
Cd: 0.670 0.968 0.032
Cd: 0.968 0.670 0.330
In: 0.383 0.383 0.617
In: 0.617 0.617 0.383

=====

The following is a DFT calculation (PBE-GGA) of a geometry-optimized SiCl4 structure.

* ΔE_f (raw): -1248 meV per atom
* magnetic moment: 0.00 μB/cell
* calculated total energy: -3.810 eV per atom

a = 6.829 Å, b = 6.829 Å, c = 6.829 Å
α = 128.33°, β = 128.33°, γ = 76.09°
Positions (direct):
Si: 0.000 0.000 0.000
Cl: 0.088 0.088 0.394
Cl: 0.307 0.912 0.000
Cl: 0.693 0.693 0.606
Cl: 0.912 0.307 0.000